Entry 1:
Here is La2BeHgH after structural relaxation from Alexandria. Energies are from GGA-PBE.

Unit cell a=5.324 b=5.324 c=3.808 alpha=90.00 beta=90.00 gamma=90.00
Fractional coordinates of all 5 atoms:
Be: 0.000 0.000 0.500
Hg: 0.500 0.500 0.500
H: 0.000 0.000 0.000
La: 0.000 0.500 0.000
La: 0.500 0.000 0.000

Results
Total moment in Bohr magnetons per cell: 0.0
VASP energy in hartree per atom: -0.13318
SG: P4/mmm
ρ in Mg/m³: 7.51

Entry 2:
Here is Sc2BeHgH after structural relaxation from Alexandria. Energies are from GGA-PBE.

Unit cell a=4.722 b=4.722 c=3.474 alpha=90.00 beta=90.00 gamma=90.00
Fractional coordinates of all 5 atoms:
Sc: 0.000 0.500 0.000
Sc: 0.500 0.000 0.000
Be: 0.000 0.000 0.500
Hg: 0.500 0.500 0.500
H: 0.000 0.000 0.000

Results
Total moment in Bohr magnetons per cell: 0.1
VASP energy in hartree per atom: -0.15477
SG: P4/mmm
ρ in Mg/m³: 6.44

Entry 3:
Here is BeSnHgH2 after structural relaxation from Alexandria. Energies are from GGA-PBE.

Unit cell a=3.739 b=5.982 c=3.739 alpha=90.00 beta=90.00 gamma=90.00
Fractional coordinates of all 5 atoms:
Be: 0.500 0.500 0.500
Hg: 0.000 0.500 0.000
H: 0.000 0.000 0.500
H: 0.500 0.000 0.000
Sn: 0.000 0.000 0.000

Results
Total moment in Bohr magnetons per cell: 0.0
VASP energy in hartree per atom: -0.08751
SG: P4/mmm
ρ in Mg/m³: 6.56